# 1
! NbHgBi, optimized geometry, DFT PBE; values from VASP
! D(E_F): 3.25 states/eV/cell
! SG: C2/m
! E above lowest polymorph: 289 meV/atom
&SYSTEM
  ibrav = 0, nat = 6, ntyp = 3
/
ATOMIC_SPECIES
Nb 92.91 Nb.upf
Hg 200.59 Hg.upf
Bi 208.98 Bi.upf
CELL_PARAMETERS angstrom
5.238 -2.450 0.000
5.238 2.450 0.000
-0.537 0.000 5.618
ATOMIC_POSITIONS angstrom
Nb 0.675 0.000 1.292
Nb 9.264 0.000 4.325
Hg 5.238 0.000 0.000
Hg 4.969 0.000 2.809
Bi 1.793 0.000 4.224
Bi 8.145 0.000 1.394

***

# 2
! NbHgBi, optimized geometry, DFT PBE; values from VASP
! D(E_F): 1.51 states/eV/cell
! SG: Cmm2
! E above lowest polymorph: 282 meV/atom
&SYSTEM
  ibrav = 0, nat = 3, ntyp = 3
/
ATOMIC_SPECIES
Nb 92.91 Nb.upf
Hg 200.59 Hg.upf
Bi 208.98 Bi.upf
CELL_PARAMETERS angstrom
2.043 -2.437 0.000
2.043 2.437 0.000
0.000 0.000 7.450
ATOMIC_POSITIONS angstrom
Nb 0.000 0.000 0.000
Hg 2.043 0.000 2.051
Bi 2.043 0.000 5.273

***

# 3
! NbHgBi, optimized geometry, DFT PBE; values from VASP
! D(E_F): 3.53 states/eV/cell
! SG: C2/m
! E above lowest polymorph: 173 meV/atom
&SYSTEM
  ibrav = 0, nat = 6, ntyp = 3
/
ATOMIC_SPECIES
Nb 92.91 Nb.upf
Hg 200.59 Hg.upf
Bi 208.98 Bi.upf
CELL_PARAMETERS angstrom
5.352 -1.687 0.000
5.352 1.687 0.000
-3.395 0.000 8.106
ATOMIC_POSITIONS angstrom
Nb 1.877 0.000 0.725
Nb 5.431 0.000 7.381
Hg -0.271 0.000 4.741
Hg 7.580 0.000 3.365
Bi 2.598 0.000 6.515
Bi 4.710 0.000 1.591

***

# 4
! NbHgBi, optimized geometry, DFT PBE; values from VASP
! D(E_F): 2.71 states/eV/cell
! SG: P-1
! E above lowest polymorph: 174 meV/atom
&SYSTEM
  ibrav = 0, nat = 6, ntyp = 3
/
ATOMIC_SPECIES
Nb 92.91 Nb.upf
Hg 200.59 Hg.upf
Bi 208.98 Bi.upf
CELL_PARAMETERS angstrom
3.382 0.000 0.000
1.674 5.383 0.000
0.061 1.260 8.220
ATOMIC_POSITIONS angstrom
Nb 0.869 1.429 3.388
Nb 4.247 5.214 4.832
Hg 2.554 5.509 7.438
Hg 2.562 1.134 0.782
Bi 2.561 3.968 2.538
Bi 2.556 2.675 5.682

***

# 5
! NbHgBi, optimized geometry, DFT PBE; values from VASP
! D(E_F): 2.59 states/eV/cell
! SG: P2_1/m
! E above lowest polymorph: 202 meV/atom
&SYSTEM
  ibrav = 0, nat = 6, ntyp = 3
/
ATOMIC_SPECIES
Nb 92.91 Nb.upf
Hg 200.59 Hg.upf
Bi 208.98 Bi.upf
CELL_PARAMETERS angstrom
5.382 0.000 0.000
0.000 3.652 0.000
-1.230 0.000 7.466
ATOMIC_POSITIONS angstrom
Nb 1.075 0.913 0.053
Nb 3.077 2.739 7.413
Hg 0.631 2.739 2.388
Hg 3.522 0.913 5.078
Bi 0.843 2.739 5.370
Bi 3.309 0.913 2.096

***

# 6
! NbHgBi, optimized geometry, DFT PBE; values from VASP
! D(E_F): 3.83 states/eV/cell
! SG: P-1
! E above lowest polymorph: 205 meV/atom
&SYSTEM
  ibrav = 0, nat = 6, ntyp = 3
/
ATOMIC_SPECIES
Nb 92.91 Nb.upf
Hg 200.59 Hg.upf
Bi 208.98 Bi.upf
CELL_PARAMETERS angstrom
3.067 0.000 0.000
0.942 6.306 0.000
0.428 0.074 7.668
ATOMIC_POSITIONS angstrom
Nb 0.696 1.304 3.685
Nb 3.741 5.076 3.984
Hg 2.136 6.185 6.376
Hg 2.300 0.195 1.293
Bi 2.254 2.950 5.807
Bi 2.182 3.430 1.861

***

# 7
! NbHgBi, optimized geometry, DFT PBE; values from VASP
! D(E_F): 3.06 states/eV/cell
! SG: P4/nmm
! E above lowest polymorph: 165 meV/atom
&SYSTEM
  ibrav = 0, nat = 6, ntyp = 3
/
ATOMIC_SPECIES
Nb 92.91 Nb.upf
Hg 200.59 Hg.upf
Bi 208.98 Bi.upf
CELL_PARAMETERS angstrom
4.476 0.000 0.000
0.000 4.476 0.000
0.000 0.000 7.247
ATOMIC_POSITIONS angstrom
Nb 1.119 3.357 0.000
Nb 3.357 1.119 0.000
Hg 1.119 1.119 1.997
Hg 3.357 3.357 5.251
Bi 1.119 1.119 5.112
Bi 3.357 3.357 2.135

***

# 8
! NbHgBi, optimized geometry, DFT PBE; values from VASP
! D(E_F): 4.16 states/eV/cell
! SG: Cm
! E above lowest polymorph: 245 meV/atom
&SYSTEM
  ibrav = 0, nat = 6, ntyp = 3
/
ATOMIC_SPECIES
Nb 92.91 Nb.upf
Hg 200.59 Hg.upf
Bi 208.98 Bi.upf
CELL_PARAMETERS angstrom
5.621 -1.668 0.000
5.621 1.668 0.000
-2.675 0.000 7.748
ATOMIC_POSITIONS angstrom
Nb 0.000 0.000 0.000
Nb 4.104 0.000 5.932
Hg 0.452 0.000 7.668
Hg 7.050 0.000 1.942
Bi 7.235 0.000 5.060
Bi 9.927 0.000 3.179

***

# 9
! Nb2HgBi2, optimized geometry, DFT PBE; values from VASP
! D(E_F): 3.38 states/eV/cell
! SG: P4/mbm
! total energy: -5.45 eV per atom
&SYSTEM
  ibrav = 0, nat = 10, ntyp = 3
/
ATOMIC_SPECIES
Nb 92.91 Nb.upf
Hg 200.59 Hg.upf
Bi 208.98 Bi.upf
CELL_PARAMETERS angstrom
7.799 0.000 0.000
0.000 7.799 0.000
0.000 0.000 3.794
ATOMIC_POSITIONS angstrom
Nb 1.069 2.831 0.000
Nb 2.831 6.730 0.000
Nb 4.969 1.069 0.000
Nb 6.730 4.969 0.000
Hg 0.000 0.000 0.000
Hg 3.900 3.900 0.000
Bi 1.217 5.117 1.897
Bi 2.683 1.217 1.897
Bi 5.117 6.582 1.897
Bi 6.582 2.683 1.897

***

# 10
! Nb2NiHgBi, optimized geometry, DFT PBE; values from VASP
! D(E_F): 5.28 states/eV/cell
! SG: P4/mmm
! total energy: -5.36 eV per atom
&SYSTEM
  ibrav = 0, nat = 5, ntyp = 4
/
ATOMIC_SPECIES
Nb 92.91 Nb.upf
Ni 58.69 Ni.upf
Hg 200.59 Hg.upf
Bi 208.98 Bi.upf
CELL_PARAMETERS angstrom
4.742 0.000 0.000
0.000 4.742 0.000
0.000 0.000 4.847
ATOMIC_POSITIONS angstrom
Nb 0.000 2.371 0.000
Nb 2.371 0.000 0.000
Ni 0.000 0.000 0.000
Hg 0.000 0.000 2.423
Bi 2.371 2.371 2.423

***

# 11
! RbNbHg2Bi, optimized geometry, DFT PBE; values from VASP
! D(E_F): 3.67 states/eV/cell
! SG: P4/mmm
! total energy: -3.00 eV per atom
&SYSTEM
  ibrav = 0, nat = 5, ntyp = 4
/
ATOMIC_SPECIES
Rb 85.47 Rb.upf
Nb 92.91 Nb.upf
Hg 200.59 Hg.upf
Bi 208.98 Bi.upf
CELL_PARAMETERS angstrom
5.614 0.000 0.000
0.000 5.614 0.000
0.000 0.000 5.487
ATOMIC_POSITIONS angstrom
Rb 0.000 0.000 0.000
Nb 2.807 2.807 2.744
Hg 0.000 2.807 2.744
Hg 2.807 0.000 2.744
Bi 2.807 2.807 0.000

***

# 12
! Nb2HgBiS, optimized geometry, DFT PBE; values from VASP
! D(E_F): 7.41 states/eV/cell
! formation energy without anion corrections: 0.462 eV/atom
! SG: P4/mmm
&SYSTEM
  ibrav = 0, nat = 5, ntyp = 4
/
ATOMIC_SPECIES
Nb 92.91 Nb.upf
Hg 200.59 Hg.upf
Bi 208.98 Bi.upf
S 32.06 S.upf
CELL_PARAMETERS angstrom
4.646 0.000 0.000
0.000 4.646 0.000
0.000 0.000 5.450
ATOMIC_POSITIONS angstrom
Nb 0.000 2.323 0.000
Nb 2.323 0.000 0.000
Hg 0.000 0.000 2.725
Bi 2.323 2.323 2.725
S 0.000 0.000 0.000

***

# 13
! Ti2NbHgBi, optimized geometry, DFT PBE; values from VASP
! D(E_F): 7.11 states/eV/cell
! SG: P4/mmm
! total energy: -4.70 eV per atom
&SYSTEM
  ibrav = 0, nat = 5, ntyp = 4
/
ATOMIC_SPECIES
Ti 47.87 Ti.upf
Nb 92.91 Nb.upf
Hg 200.59 Hg.upf
Bi 208.98 Bi.upf
CELL_PARAMETERS angstrom
5.100 0.000 0.000
0.000 5.100 0.000
0.000 0.000 5.244
ATOMIC_POSITIONS angstrom
Ti 0.000 2.550 0.000
Ti 2.550 0.000 0.000
Nb 0.000 0.000 2.622
Hg 2.550 2.550 2.622
Bi 0.000 0.000 0.000

***

# 14
! TiNb2HgBi, optimized geometry, DFT PBE; values from VASP
! D(E_F): 9.33 states/eV/cell
! SG: P4/mmm
! total energy: -4.63 eV per atom
&SYSTEM
  ibrav = 0, nat = 5, ntyp = 4
/
ATOMIC_SPECIES
Ti 47.87 Ti.upf
Nb 92.91 Nb.upf
Hg 200.59 Hg.upf
Bi 208.98 Bi.upf
CELL_PARAMETERS angstrom
5.090 0.000 0.000
0.000 5.090 0.000
0.000 0.000 5.487
ATOMIC_POSITIONS angstrom
Ti 0.000 0.000 0.000
Nb 0.000 2.545 2.744
Nb 2.545 0.000 2.744
Hg 2.545 2.545 2.744
Bi 2.545 2.545 0.000

***

# 15
! NdHg2Bi2, optimized geometry, DFT PBE; values from VASP
! D(E_F): 5.38 states/eV/cell
! SG: P6_3/mmc
! E above lowest polymorph: 118 meV/atom
&SYSTEM
  ibrav = 0, nat = 10, ntyp = 3
/
ATOMIC_SPECIES
Nd 144.24 Nd.upf
Hg 200.59 Hg.upf
Bi 208.98 Bi.upf
CELL_PARAMETERS angstrom
5.376 0.000 0.000
-2.688 4.656 0.000
0.000 0.000 12.984
ATOMIC_POSITIONS angstrom
Nd 0.000 0.000 3.246
Nd 0.000 0.000 9.738
Hg 0.000 0.000 0.000
Hg 0.000 0.000 6.492
Hg 0.000 3.104 3.246
Hg 2.688 1.552 9.738
Bi 0.000 3.104 8.143
Bi 0.000 3.104 11.333
Bi 2.688 1.552 1.651
Bi 2.688 1.552 4.841

***

# 16
! Nd2HgBi, optimized geometry, DFT PBE; values from VASP
! D(E_F): 4.81 states/eV/cell
! SG: R-3m
! E above lowest polymorph: 53 meV/atom
&SYSTEM
  ibrav = 0, nat = 4, ntyp = 3
/
ATOMIC_SPECIES
Nd 144.24 Nd.upf
Hg 200.59 Hg.upf
Bi 208.98 Bi.upf
CELL_PARAMETERS angstrom
2.234 1.290 7.721
-2.234 1.290 7.721
0.000 -2.580 7.721
ATOMIC_POSITIONS angstrom
Nd 0.000 0.000 5.755
Nd 0.000 0.000 17.407
Hg 0.000 0.000 0.000
Bi 0.000 0.000 11.581

***

# 17
! NdHgBi2, optimized geometry, DFT PBE; values from VASP
! D(E_F): 3.92 states/eV/cell
! SG: P4/nmm
! E above lowest polymorph: 6 meV/atom
&SYSTEM
  ibrav = 0, nat = 8, ntyp = 3
/
ATOMIC_SPECIES
Nd 144.24 Nd.upf
Hg 200.59 Hg.upf
Bi 208.98 Bi.upf
CELL_PARAMETERS angstrom
4.691 0.000 0.000
0.000 4.691 0.000
0.000 0.000 10.699
ATOMIC_POSITIONS angstrom
Nd 1.173 1.173 2.655
Nd 3.518 3.518 8.043
Hg 1.173 3.518 5.349
Hg 3.518 1.173 5.349
Bi 1.173 1.173 7.753
Bi 1.173 3.518 0.000
Bi 3.518 1.173 0.000
Bi 3.518 3.518 2.945

***

# 18
! Nd4HgBi5, optimized geometry, DFT PBE; values from VASP
! D(E_F): 3.96 states/eV/cell
! SG: Immm
! total energy: -4.56 eV per atom
&SYSTEM
  ibrav = 0, nat = 10, ntyp = 3
/
ATOMIC_SPECIES
Nd 144.24 Nd.upf
Hg 200.59 Hg.upf
Bi 208.98 Bi.upf
CELL_PARAMETERS angstrom
-2.269 5.765 6.223
2.269 -5.765 6.223
2.269 5.765 -6.223
ATOMIC_POSITIONS angstrom
Nd 2.269 2.398 0.000
Nd 0.000 0.000 3.078
Nd 0.000 0.000 9.367
Nd 0.000 3.366 6.223
Hg 0.000 0.000 6.223
Bi 0.000 0.000 0.000
Bi 2.269 -2.041 4.165
Bi 0.000 3.723 2.058
Bi 2.269 2.041 4.165
Bi 0.000 7.806 2.058

***

# 19
! Nd2Hg3Bi3, optimized geometry, DFT PBE; values from VASP
! D(E_F): 3.83 states/eV/cell
! SG: Pmmm
! total energy: -3.22 eV per atom
&SYSTEM
  ibrav = 0, nat = 8, ntyp = 3
/
ATOMIC_SPECIES
Nd 144.24 Nd.upf
Hg 200.59 Hg.upf
Bi 208.98 Bi.upf
CELL_PARAMETERS angstrom
4.726 0.000 0.000
0.000 5.061 0.000
0.000 0.000 9.497
ATOMIC_POSITIONS angstrom
Nd 0.000 0.000 2.336
Nd 0.000 0.000 7.161
Hg 0.000 2.531 0.000
Hg 2.363 2.531 2.235
Hg 2.363 2.531 7.261
Bi 0.000 2.531 4.748
Bi 2.363 0.000 0.000
Bi 2.363 0.000 4.748

***

# 20
! NdHgBi, optimized geometry, DFT PBE; values from VASP
! D(E_F): 0.18 states/eV/cell
! SG: F-43m
! E above lowest polymorph: 102 meV/atom
&SYSTEM
  ibrav = 0, nat = 3, ntyp = 3
/
ATOMIC_SPECIES
Nd 144.24 Nd.upf
Hg 200.59 Hg.upf
Bi 208.98 Bi.upf
CELL_PARAMETERS angstrom
0.000 3.757 3.757
3.757 0.000 3.757
3.757 3.757 0.000
ATOMIC_POSITIONS angstrom
Nd 0.000 0.000 0.000
Hg 5.635 5.635 5.635
Bi 1.878 1.878 1.878

***

# 21
! Nd5Hg2Bi, optimized geometry, DFT PBE; values from VASP
! D(E_F): 12.67 states/eV/cell
! SG: I4/mcm
! total energy: -4.02 eV per atom
&SYSTEM
  ibrav = 0, nat = 16, ntyp = 3
/
ATOMIC_SPECIES
Nd 144.24 Nd.upf
Hg 200.59 Hg.upf
Bi 208.98 Bi.upf
CELL_PARAMETERS angstrom
-4.360 4.360 6.591
4.360 -4.360 6.591
4.360 4.360 -6.591
ATOMIC_POSITIONS angstrom
Nd 0.000 0.000 0.000
Nd 5.695 1.335 -1.931
Nd 1.335 3.025 -1.931
Nd 5.695 1.335 1.931
Nd 1.335 3.025 1.931
Nd 0.000 0.000 6.591
Nd 3.025 1.335 4.659
Nd -1.335 3.025 4.659
Nd 3.025 1.335 8.522
Nd -1.335 3.025 8.522
Hg 3.125 1.234 0.000
Hg 3.125 -1.234 6.591
Hg 1.234 5.594 0.000
Hg 1.234 3.125 6.591
Bi 0.000 0.000 3.295
Bi 0.000 0.000 9.886

***

# 22
! Nd6Hg5Bi, optimized geometry, DFT PBE; values from VASP
! D(E_F): 13.86 states/eV/cell
! SG: C2/m
! total energy: -3.36 eV per atom
&SYSTEM
  ibrav = 0, nat = 12, ntyp = 3
/
ATOMIC_SPECIES
Nd 144.24 Nd.upf
Hg 200.59 Hg.upf
Bi 208.98 Bi.upf
CELL_PARAMETERS angstrom
8.662 -3.844 0.000
8.662 3.844 0.000
-1.717 0.000 5.189
ATOMIC_POSITIONS angstrom
Nd 5.182 1.930 1.724
Nd 8.662 1.941 0.000
Nd 10.425 1.930 3.465
Nd 5.182 -1.930 1.724
Nd 8.662 -1.941 0.000
Nd 10.425 -1.930 3.465
Hg -0.859 0.000 2.594
Hg 2.594 0.000 0.860
Hg 4.226 0.000 4.283
Hg 11.382 0.000 0.906
Hg 13.014 0.000 4.329
Bi 7.804 0.000 2.594

***

# 23
! NdHgBi, optimized geometry, DFT PBE; values from VASP
! D(E_F): 0.15 states/eV/cell
! SG: P3m1
! E above lowest polymorph: 0 meV/atom
&SYSTEM
  ibrav = 0, nat = 3, ntyp = 3
/
ATOMIC_SPECIES
Nd 144.24 Nd.upf
Hg 200.59 Hg.upf
Bi 208.98 Bi.upf
CELL_PARAMETERS angstrom
4.884 0.000 0.000
-2.442 4.229 0.000
0.000 0.000 4.434
ATOMIC_POSITIONS angstrom
Nd 0.000 0.000 0.000
Hg 2.442 1.410 1.272
Bi 0.000 2.820 2.581

***

# 24
! NdHgBi2, optimized geometry, DFT PBE; values from VASP
! D(E_F): 1.38 states/eV/cell
! SG: P4/mmm
! E above lowest polymorph: 0 meV/atom
&SYSTEM
  ibrav = 0, nat = 4, ntyp = 3
/
ATOMIC_SPECIES
Nd 144.24 Nd.upf
Hg 200.59 Hg.upf
Bi 208.98 Bi.upf
CELL_PARAMETERS angstrom
4.867 0.000 0.000
0.000 4.867 0.000
0.000 0.000 4.951
ATOMIC_POSITIONS angstrom
Nd 0.000 0.000 0.000
Hg 2.433 2.433 0.000
Bi 0.000 2.433 2.475
Bi 2.433 0.000 2.475

***

# 25
! Nd4Hg4Bi5, optimized geometry, DFT PBE; values from VASP
! D(E_F): 6.66 states/eV/cell
! SG: I4/m
! total energy: -3.54 eV per atom
&SYSTEM
  ibrav = 0, nat = 13, ntyp = 3
/
ATOMIC_SPECIES
Nd 144.24 Nd.upf
Hg 200.59 Hg.upf
Bi 208.98 Bi.upf
CELL_PARAMETERS angstrom
-6.525 6.525 2.317
6.525 -6.525 2.317
6.525 6.525 -2.317
ATOMIC_POSITIONS angstrom
Nd 2.962 1.270 0.000
Nd 5.255 -3.563 2.317
Nd 1.270 10.088 0.000
Nd 3.563 5.255 2.317
Hg 7.720 1.152 0.000
Hg 1.152 5.330 0.000
Hg 5.373 1.195 2.317
Hg -1.195 5.373 2.317
Bi 0.000 0.000 0.000
Bi 5.378 3.779 0.000
Bi 2.745 -1.147 2.317
Bi 3.779 7.671 0.000
Bi 1.147 2.745 2.317